<w>
Compound: SmErCdAg
Source: Alexandria
Functional: PBE
Structure: optimized geometry

The structure in CIF format:
```
data_SmErCdAg
_space_group_name_H-M_alt 'F -4 3 m'
_space_group_IT_number 216
_space_group_name_Hall 'F -4 2 3'
_cell_length_a 7.4242
_cell_length_b 7.4242
_cell_length_c 7.4242
_cell_angle_alpha 90.00
_cell_angle_beta 90.00
_cell_angle_gamma 90.00
loop_
_atom_site_label
_atom_site_type_symbol
_atom_site_fract_x
_atom_site_fract_y
_atom_site_fract_z
Sm1 Sm 0.0000 0.0000 0.0000
Er1 Er 0.0000 0.0000 0.5000
Cd1 Cd 0.2500 0.2500 0.7500
Ag1 Ag 0.2500 0.2500 0.2500
```

- DOS at the Fermi energy (states/eV per cell) = 12.48



<x>
Compound: SmErCdAg
Source: Alexandria
Functional: PBE
Structure: optimized geometry

The structure in CIF format:
```
data_SmErCdAg
_space_group_name_H-M_alt 'P 4 m m'
_space_group_IT_number 99
_space_group_name_Hall 'P 4 -2'
_cell_length_a 3.6923
_cell_length_b 3.6923
_cell_length_c 7.4855
_cell_angle_alpha 90.00
_cell_angle_beta 90.00
_cell_angle_gamma 90.00
loop_
_atom_site_label
_atom_site_type_symbol
_atom_site_fract_x
_atom_site_fract_y
_atom_site_fract_z
Sm1 Sm 0.0000 0.0000 0.0000
Er1 Er 0.0000 0.0000 0.4837
Cd1 Cd 0.5000 0.5000 0.7318
Ag1 Ag 0.5000 0.5000 0.2604
```

- DOS at the Fermi energy (states/eV per cell) = 3.72



Which of them is least stable? Easy: <w>.



<w>
Compound: TbErCdAg
Source: Alexandria
Functional: PBE
Structure: optimized geometry

The structure in CIF format:
```
data_TbErCdAg
_space_group_name_H-M_alt 'P 4 m m'
_space_group_IT_number 99
_space_group_name_Hall 'P 4 -2'
_cell_length_a 3.6752
_cell_length_b 3.6752
_cell_length_c 7.3810
_cell_angle_alpha 90.00
_cell_angle_beta 90.00
_cell_angle_gamma 90.00
loop_
_atom_site_label
_atom_site_type_symbol
_atom_site_fract_x
_atom_site_fract_y
_atom_site_fract_z
Tb1 Tb 0.0000 0.0000 0.0000
Er1 Er 0.0000 0.0000 0.4831
Cd1 Cd 0.5000 0.5000 0.7372
Ag1 Ag 0.5000 0.5000 0.2491
```

- DOS at the Fermi energy (states/eV per cell) = 3.27



<x>
Compound: TbErCdAg
Source: Alexandria
Functional: PBE
Structure: optimized geometry

The structure in CIF format:
```
data_TbErCdAg
_space_group_name_H-M_alt 'F -4 3 m'
_space_group_IT_number 216
_space_group_name_Hall 'F -4 2 3'
_cell_length_a 7.3642
_cell_length_b 7.3642
_cell_length_c 7.3642
_cell_angle_alpha 90.00
_cell_angle_beta 90.00
_cell_angle_gamma 90.00
loop_
_atom_site_label
_atom_site_type_symbol
_atom_site_fract_x
_atom_site_fract_y
_atom_site_fract_z
Tb1 Tb 0.0000 0.0000 0.0000
Er1 Er 0.0000 0.0000 0.5000
Cd1 Cd 0.2500 0.2500 0.7500
Ag1 Ag 0.2500 0.2500 0.2500
```

- DOS at the Fermi energy (states/eV per cell) = 14.06



Which of them is least stable? Easy: <x>.



<w>
Compound: YErCdAg
Source: Alexandria
Functional: PBE
Structure: optimized geometry

The structure in CIF format:
```
data_YErCdAg
_space_group_name_H-M_alt 'F -4 3 m'
_space_group_IT_number 216
_space_group_name_Hall 'F -4 2 3'
_cell_length_a 7.3587
_cell_length_b 7.3587
_cell_length_c 7.3587
_cell_angle_alpha 90.00
_cell_angle_beta 90.00
_cell_angle_gamma 90.00
loop_
_atom_site_label
_atom_site_type_symbol
_atom_site_fract_x
_atom_site_fract_y
_atom_site_fract_z
Y1 Y 0.0000 0.0000 0.0000
Er1 Er 0.0000 0.0000 0.5000
Cd1 Cd 0.2500 0.2500 0.2500
Ag1 Ag 0.2500 0.2500 0.7500
```

- DOS at the Fermi energy (states/eV per cell) = 16.33



<x>
Compound: YErCdAg
Source: Alexandria
Functional: PBE
Structure: optimized geometry

The structure in CIF format:
```
data_YErCdAg
_space_group_name_H-M_alt 'P 4 m m'
_space_group_IT_number 99
_space_group_name_Hall 'P 4 -2'
_cell_length_a 3.6805
_cell_length_b 3.6805
_cell_length_c 7.3417
_cell_angle_alpha 90.00
_cell_angle_beta 90.00
_cell_angle_gamma 90.00
loop_
_atom_site_label
_atom_site_type_symbol
_atom_site_fract_x
_atom_site_fract_y
_atom_site_fract_z
Y1 Y 0.0000 0.0000 0.0000
Er1 Er 0.0000 0.0000 0.5162
Cd1 Cd 0.5000 0.5000 0.2624
Ag1 Ag 0.5000 0.5000 0.7497
```

- DOS at the Fermi energy (states/eV per cell) = 3.23



Which of them is least stable? Easy: <w>.